Entry 1:
Computed, not measured: a relaxed structure of Si2IrW2 at the PBE level of DFT.

a b c (Å): 3.310 3.310 7.337
angles (deg): 76.96 76.96 90.00
Element x y z (fractional)
Si1 0.750 0.250 0.500
Si2 0.250 0.750 0.500
Ir1 0.000 0.000 0.000
W1 0.389 0.389 0.221
W2 0.611 0.611 0.779

Values from the calculation:
Calculated density = 13.43 Mg/m³
Excess energy over the best structure of this formula in the dataset = 341 meV/atom
E_tot = -44.7 eV/cell
Raw formation energy = 0.18 eV/atom

***

Entry 2:
Computed, not measured: a relaxed structure of TeMoP2Cl at the PBE level of DFT.

a b c (Å): 5.115 5.115 5.028
angles (deg): 90.00 90.00 90.00
Last column: magnetic moment on the atom in μB.
Element x y z (fractional)
P1 0.000 0.500 0.000  -0.24
P2 0.500 0.000 0.000  -0.24
Mo1 0.500 0.500 0.500  3.62
Te1 0.000 0.000 0.000  -0.01
Cl1 0.000 0.000 0.500  0.01

Values from the calculation:
Calculated density = 4.05 Mg/m³
Excess energy over the best structure of this formula in the dataset = 1080 meV/atom
E_tot = -19.5 eV/cell
Raw formation energy = 1.43 eV/atom

***

Entry 3:
Computed, not measured: a relaxed structure of PmY6Er at the PBE level of DFT.

a b c (Å): 8.651 9.640 6.477
angles (deg): 41.93 48.09 56.14
Element x y z (fractional)
Pm1 0.500 0.500 0.500
Y1 0.955 0.457 0.835
Y2 0.752 0.955 0.750
Y3 0.457 0.248 0.339
Y4 0.248 0.045 0.250
Y5 0.045 0.543 0.165
Y6 0.543 0.752 0.661
Er1 0.000 0.000 0.000

Values from the calculation:
Calculated density = 5.27 Mg/m³
Excess energy over the best structure of this formula in the dataset = 0 meV/atom
Formation energy = 1.23 eV per formula unit
E_tot = -46.9 eV/cell

***

Entry 4:
Computed, not measured: a relaxed structure of DyGaSn at the PBE level of DFT.

a b c (Å): 3.624 3.624 6.030
angles (deg): 107.49 107.49 90.00
Last column: magnetic moment on the atom in μB.
Element x y z (fractional)
Sn1 0.020 0.020 0.040  0.00
Ga1 0.654 0.654 0.307  0.01
Dy1 0.326 0.326 0.652  0.10

Values from the calculation:
Calculated density = 8.13 Mg/m³
Formation energy = -1.10 eV per formula unit
E_tot = -12.7 eV/cell